Li2TlAg: relaxed, PBE. Values from VASP.

```
&SYSTEM
  ibrav = 0, nat = 4, ntyp = 3
/
ATOMIC_SPECIES
Li 6.94 Li.upf
Tl 204.38 Tl.upf
Ag 107.87 Ag.upf
ATOMIC_POSITIONS crystal
Li 0.0000 0.5000 0.0000
Li 0.5000 0.0000 0.0000
Tl 0.0000 0.0000 0.5000
Ag 0.5000 0.5000 0.5000
CELL_PARAMETERS angstrom
4.6026 0.0000 0.0000
0.0000 4.6026 0.0000
0.0000 0.0000 3.4177
```

The crystal system is tetragonal. The calculation puts the formation enthalpy at 0 K at -217 meV per atom. Its size of the total moment is 0.00 μB per cell. The calculation puts the raw total energy at -2.478 eV per atom.